Below is Na3Sc2TiTe6 after structural relaxation, with properties calculated at the PBE level.

CIF file:
```
data_Na3Sc2TiTe6
_chemical_formula_sum 'Na3 Sc2 Ti1 Te6'
_cell_length_a 7.232
_cell_length_b 7.232
_cell_length_c 7.946
_cell_angle_alpha 98.73
_cell_angle_beta 98.73
_cell_angle_gamma 120.02
_symmetry_space_group_name_H-M 'P 1'
_symmetry_Int_Tables_number 1
_symmetry_space_group_name_Hall 'P 1'
loop_
_atom_site_label
_atom_site_type_symbol
_atom_site_fract_x
_atom_site_fract_y
_atom_site_fract_z
Te1 Te 0.603 0.928 0.783
Te2 Te 0.397 0.072 0.217
Sc1 Sc 0.334 0.666 0.000
Te3 Te 0.072 0.397 0.217
Na1 Na 0.500 0.500 0.500
Sc2 Sc 0.666 0.334 0.000
Na2 Na 0.170 0.830 0.500
Na3 Na 0.830 0.170 0.500
Te4 Te 0.928 0.603 0.783
Te5 Te 0.748 0.748 0.218
Ti1 Ti 0.000 0.000 0.000
Te6 Te 0.252 0.252 0.782
```

Summary:
E_form (uncorrected) ... -1038.0 meV/atom
SG ... C2/m (12)

---

Below is CaCr2Rh after structural relaxation, with properties calculated at the PBE level.

CIF file:
```
data_CaCr2Rh
_chemical_formula_sum 'Ca1 Cr2 Rh1'
_cell_length_a 5.312
_cell_length_b 5.312
_cell_length_c 5.312
_cell_angle_alpha 139.51
_cell_angle_beta 139.51
_cell_angle_gamma 58.60
_symmetry_space_group_name_H-M 'P 1'
_symmetry_Int_Tables_number 1
_symmetry_space_group_name_Hall 'P 1'
loop_
_atom_site_label
_atom_site_type_symbol
_atom_site_fract_x
_atom_site_fract_y
_atom_site_fract_z
Cr1 Cr 0.500 0.500 0.000
Cr2 Cr 0.000 0.000 0.000
Ca1 Ca 0.750 0.250 0.500
Rh1 Rh 0.250 0.750 0.500
```

Summary:
SG ... I4/mmm (139)
Polymorph energy (0 for the lowest one) ... 44.93 kJ per mole of atoms
Formation enthalpy at 0 K ... 0.69 eV/atom

---

| no. | density of states at the Fermi level (states/eV/cell) |
| --- | --- |
| 1 | 6.1 |
| 2 | 6.2 |